{
  "formula": "MnZnP2O7",
  "functional": "GGA+U",
  "state": "relaxed",
  "lattice": [[5.428, 0.014, 0.052], [1.957, 6.277, 0.078], [0.601, 1.053, 7.454]],
  "species": ["Zn", "O", "O", "O", "P", "P", "P", "O", "O", "O", "Mn", "O", "O", "O", "P", "Mn", "O", "O", "O", "O", "O", "Zn"],
  "frac_coords": [[0.683, 0.348, 0.350], [0.365, 0.852, 0.074], [0.377, 0.956, 0.663], [0.056, 0.213, 0.440], [0.215, 0.686, 0.090], [0.785, 0.810, 0.397], [0.215, 0.190, 0.603], [0.635, 0.148, 0.926], [0.628, 0.540, 0.828], [0.372, 0.460, 0.172], [0.302, 0.157, 0.159], [0.620, 0.651, 0.424], [0.907, 0.311, 0.088], [0.029, 0.246, 0.775], [0.785, 0.314, 0.910], [0.698, 0.843, 0.841], [0.623, 0.044, 0.337], [0.380, 0.349, 0.576], [0.944, 0.787, 0.560], [0.971, 0.754, 0.225], [0.093, 0.689, 0.912], [0.317, 0.652, 0.650]],
  "total_magnetization_mub_per_atom": 0.45,
  "final_energy_ev_per_cell": -153.49,
  "rho_g_cm3": 3.860
}